# PBE Ce6ZrIn2, relaxed
data_Ce6ZrIn2
_chemical_formula_sum 'Ce6 Zr1 In2'
_space_group_name_H-M_alt 'P 1'
_space_group_IT_number 1
_space_group_name_Hall 'P 1'
_cell_length_a 3.123
_cell_length_b 9.118
_cell_length_c 9.118
_cell_angle_alpha 120.00
_cell_angle_beta 90.00
_cell_angle_gamma 90.00
loop_
_atom_site_label
_atom_site_type_symbol
_atom_site_fract_x
_atom_site_fract_y
_atom_site_fract_z
_atom_site_occupancy
Ce1 Ce 0.500 0.000 0.676 1
Zr1 Zr 0.000 0.000 0.000 1
Ce2 Ce 0.500 0.676 0.000 1
In1 In 0.000 0.333 0.667 1
Ce3 Ce 0.500 0.676 0.676 1
Ce4 Ce 0.500 0.324 0.000 1
In2 In 0.000 0.667 0.333 1
Ce5 Ce 0.500 0.000 0.324 1
Ce6 Ce 0.500 0.324 0.324 1
# **Formation energy**: -0.1750 eV/atom
# **Total DFT energy (no corrections)**: -51.20 eV/cell
# **Density**: 8.576 g cm⁻³

=====

# PBE Ce2ZrIn8, relaxed
data_Ce2ZrIn8
_chemical_formula_sum 'Ce2 Zr1 In8'
_space_group_name_H-M_alt 'P 1'
_space_group_IT_number 1
_space_group_name_Hall 'P 1'
_cell_length_a 4.674
_cell_length_b 4.674
_cell_length_c 13.260
_cell_angle_alpha 90.00
_cell_angle_beta 90.00
_cell_angle_gamma 90.00
loop_
_atom_site_label
_atom_site_type_symbol
_atom_site_fract_x
_atom_site_fract_y
_atom_site_fract_z
_atom_site_occupancy
In1 In 0.500 0.500 0.681 1
In2 In 0.000 0.500 0.500 1
In3 In 0.500 0.000 0.500 1
Zr1 Zr 0.000 0.000 0.000 1
In4 In 0.500 0.000 0.142 1
In5 In 0.000 0.500 0.142 1
Ce1 Ce 0.000 0.000 0.322 1
In6 In 0.500 0.500 0.319 1
In7 In 0.000 0.500 0.858 1
In8 In 0.500 0.000 0.858 1
Ce2 Ce 0.000 0.000 0.678 1
# **Formation energy**: -0.3015 eV/atom
# **Total DFT energy (no corrections)**: -45.64 eV/cell
# **Density**: 7.396 g cm⁻³

=====

# PBE CeZr2In, relaxed
data_CeZr2In
_chemical_formula_sum 'Ce1 Zr2 In1'
_space_group_name_H-M_alt 'P 1'
_space_group_IT_number 1
_space_group_name_Hall 'P 1'
_cell_length_a 3.674
_cell_length_b 3.674
_cell_length_c 6.998
_cell_angle_alpha 90.00
_cell_angle_beta 90.00
_cell_angle_gamma 90.00
loop_
_atom_site_label
_atom_site_type_symbol
_atom_site_fract_x
_atom_site_fract_y
_atom_site_fract_z
_atom_site_occupancy
In1 In 0.500 0.500 0.000 1
Zr1 Zr 0.000 0.000 0.762 1
Ce1 Ce 0.500 0.500 0.500 1
Zr2 Zr 0.000 0.000 0.238 1
# **Formation energy**: -0.0519 eV/atom
# **Relative energy among the computed polymorphs**: 108 meV per atom
# **Total DFT energy (no corrections)**: -25.98 eV/cell
# **Density**: 7.687 g cm⁻³

=====

# PBE CeZr2In, relaxed
data_CeZr2In
_chemical_formula_sum 'Ce1 Zr2 In1'
_space_group_name_H-M_alt 'P 1'
_space_group_IT_number 1
_space_group_name_Hall 'P 1'
_cell_length_a 5.106
_cell_length_b 5.106
_cell_length_c 5.106
_cell_angle_alpha 60.00
_cell_angle_beta 60.00
_cell_angle_gamma 60.00
loop_
_atom_site_label
_atom_site_type_symbol
_atom_site_fract_x
_atom_site_fract_y
_atom_site_fract_z
_atom_site_occupancy
Zr1 Zr 0.250 0.250 0.250 1
In1 In 0.500 0.500 0.500 1
Zr2 Zr 0.750 0.750 0.750 1
Ce1 Ce 0.000 0.000 0.000 1
# **Formation energy**: -0.0275 eV/atom
# **Relative energy among the computed polymorphs**: 133 meV per atom
# **Total DFT energy (no corrections)**: -25.88 eV/cell
# **Density**: 7.717 g cm⁻³

=====

# PBE CeZrIn, relaxed
data_CeZrIn
_chemical_formula_sum 'Ce1 Zr1 In1'
_space_group_name_H-M_alt 'P 1'
_space_group_IT_number 1
_space_group_name_Hall 'P 1'
_cell_length_a 3.161
_cell_length_b 5.146
_cell_length_c 5.146
_cell_angle_alpha 120.00
_cell_angle_beta 90.00
_cell_angle_gamma 90.00
loop_
_atom_site_label
_atom_site_type_symbol
_atom_site_fract_x
_atom_site_fract_y
_atom_site_fract_z
_atom_site_occupancy
In1 In 0.665 0.333 0.667 1
Ce1 Ce 0.166 0.000 0.000 1
Zr1 Zr 0.169 0.667 0.333 1
# **Formation energy**: -0.0023 eV/atom
# **Relative energy among the computed polymorphs**: 180 meV per atom
# **Total DFT energy (no corrections)**: -17.23 eV/cell
# **Density**: 7.930 g cm⁻³

=====

# PBE CeZrIn, relaxed
data_CeZrIn
_chemical_formula_sum 'Ce1 Zr1 In1'
_space_group_name_H-M_alt 'P 1'
_space_group_IT_number 1
_space_group_name_Hall 'P 1'
_cell_length_a 3.177
_cell_length_b 3.177
_cell_length_c 7.725
_cell_angle_alpha 101.87
_cell_angle_beta 101.87
_cell_angle_gamma 90.00
loop_
_atom_site_label
_atom_site_type_symbol
_atom_site_fract_x
_atom_site_fract_y
_atom_site_fract_z
_atom_site_occupancy
In1 In 0.660 0.660 0.320 1
Zr1 Zr 0.006 0.006 0.013 1
Ce1 Ce 0.333 0.333 0.667 1
# **Formation energy**: -0.1644 eV/atom
# **Relative energy among the computed polymorphs**: 18 meV per atom
# **Total DFT energy (no corrections)**: -17.71 eV/cell
# **Density**: 7.704 g cm⁻³

=====

# PBE CeZr2In, relaxed
data_CeZr2In
_chemical_formula_sum 'Ce1 Zr2 In1'
_space_group_name_H-M_alt 'P 1'
_space_group_IT_number 1
_space_group_name_Hall 'P 1'
_cell_length_a 3.133
_cell_length_b 3.133
_cell_length_c 11.463
_cell_angle_alpha 82.15
_cell_angle_beta 82.15
_cell_angle_gamma 60.00
loop_
_atom_site_label
_atom_site_type_symbol
_atom_site_fract_x
_atom_site_fract_y
_atom_site_fract_z
_atom_site_occupancy
Zr1 Zr 0.910 0.910 0.271 1
In1 In 0.500 0.500 0.500 1
Zr2 Zr 0.090 0.090 0.729 1
Ce1 Ce 0.000 0.000 0.000 1
# **Formation energy**: 0.1039 eV/atom
# **Relative energy among the computed polymorphs**: 264 meV per atom
# **Total DFT energy (no corrections)**: -25.35 eV/cell
# **Density**: 7.550 g cm⁻³

=====

# PBE CeZrIn, relaxed
data_CeZrIn
_chemical_formula_sum 'Ce2 Zr2 In2'
_space_group_name_H-M_alt 'P 1'
_space_group_IT_number 1
_space_group_name_Hall 'P 1'
_cell_length_a 4.272
_cell_length_b 3.298
_cell_length_c 10.582
_cell_angle_alpha 81.04
_cell_angle_beta 90.00
_cell_angle_gamma 90.00
loop_
_atom_site_label
_atom_site_type_symbol
_atom_site_fract_x
_atom_site_fract_y
_atom_site_fract_z
_atom_site_occupancy
In1 In 0.250 0.137 0.727 1
Zr1 Zr 0.750 0.708 0.584 1
In2 In 0.750 0.863 0.273 1
Ce1 Ce 0.750 0.542 0.915 1
Zr2 Zr 0.250 0.292 0.416 1
Ce2 Ce 0.250 0.458 0.085 1
# **Formation energy**: -0.1824 eV/atom
# **Relative energy among the computed polymorphs**: 0 meV per atom
# **Total DFT energy (no corrections)**: -35.54 eV/cell
# **Density**: 7.807 g cm⁻³

=====

| no. | spin magnetization (μB per cell) |
| --- | --- |
| 1 | 2.30 |
| 2 | 1.65 |
| 3 | 0.00 |
| 4 | 0.95 |
| 5 | 0.66 |
| 6 | 0.00 |
| 7 | 0.00 |
| 8 | 1.33 |